# PBE-GGA LiGaGe, optimized geometry
data_LiGaGe
_cell_length_a 3.983
_cell_length_b 12.411
_cell_length_c 4.128
_cell_angle_alpha 90.00
_cell_angle_beta 90.00
_cell_angle_gamma 90.00
_symmetry_space_group_name_H-M 'C m m m'
_symmetry_Int_Tables_number 65
_symmetry_space_group_name_Hall '-C 2 2'
loop_
_atom_site_label
_atom_site_type_symbol
_atom_site_fract_x
_atom_site_fract_y
_atom_site_fract_z
_atom_site_occupancy
Li1 Li 0.000 0.165 0.000 1
Ga1 Ga 0.000 0.000 0.500 1
Ga2 Ga 0.000 0.500 0.000 1
Ge1 Ge 0.000 0.324 0.500 1
# Crystal system: orthorhombic
# E_tot in eV/atom: -3.3244
# ΔH_f (0 K) in meV/atom: -138

# PBE-GGA LiLuGaGe, optimized geometry
data_LiLuGaGe
_cell_length_a 6.753
_cell_length_b 6.753
_cell_length_c 6.753
_cell_angle_alpha 90.00
_cell_angle_beta 90.00
_cell_angle_gamma 90.00
_symmetry_space_group_name_H-M 'F -4 3 m'
_symmetry_Int_Tables_number 216
_symmetry_space_group_name_Hall 'F -4 2 3'
loop_
_atom_site_label
_atom_site_type_symbol
_atom_site_fract_x
_atom_site_fract_y
_atom_site_fract_z
_atom_site_occupancy
Li1 Li 0.000 0.000 0.000 1
Lu1 Lu 0.000 0.000 0.500 1
Ga1 Ga 0.250 0.250 0.250 1
Ge1 Ge 0.250 0.250 0.750 1
# Crystal system: cubic
# E_tot in eV/atom: -3.9329
# ΔH_f (0 K) in meV/atom: -413

# PBE-GGA LiMgGaGe, optimized geometry
data_LiMgGaGe
_cell_length_a 6.606
_cell_length_b 6.606
_cell_length_c 6.606
_cell_angle_alpha 90.00
_cell_angle_beta 90.00
_cell_angle_gamma 90.00
_symmetry_space_group_name_H-M 'F -4 3 m'
_symmetry_Int_Tables_number 216
_symmetry_space_group_name_Hall 'F -4 2 3'
loop_
_atom_site_label
_atom_site_type_symbol
_atom_site_fract_x
_atom_site_fract_y
_atom_site_fract_z
_atom_site_occupancy
Li1 Li 0.000 0.000 0.000 1
Mg1 Mg 0.000 0.000 0.500 1
Ga1 Ga 0.250 0.250 0.250 1
Ge1 Ge 0.250 0.250 0.750 1
# Crystal system: cubic
# E_tot in eV/atom: -2.9862
# ΔE to the lowest computed polymorph in meV per atom: 9
# ΔH_f (0 K) in meV/atom: -198

# PBE-GGA LiMgGaGe, optimized geometry
data_LiMgGaGe
_cell_length_a 4.026
_cell_length_b 4.160
_cell_length_c 4.167
_cell_angle_alpha 90.00
_cell_angle_beta 90.00
_cell_angle_gamma 90.00
_symmetry_space_group_name_H-M 'P m m m'
_symmetry_Int_Tables_number 47
_symmetry_space_group_name_Hall '-P 2 2'
loop_
_atom_site_label
_atom_site_type_symbol
_atom_site_fract_x
_atom_site_fract_y
_atom_site_fract_z
_atom_site_occupancy
Li1 Li 0.000 0.000 0.000 1
Mg1 Mg 0.000 0.500 0.500 1
Ga1 Ga 0.500 0.000 0.500 1
Ge1 Ge 0.500 0.500 0.000 1
# Crystal system: orthorhombic
# E_tot in eV/atom: -2.9953
# ΔE to the lowest computed polymorph in meV per atom: 0
# ΔH_f (0 K) in meV/atom: -207

# PBE-GGA LiGaGe2N4, optimized geometry
data_LiGaGe2N4
_cell_length_a 4.414
_cell_length_b 4.414
_cell_length_c 9.193
_cell_angle_alpha 90.00
_cell_angle_beta 90.00
_cell_angle_gamma 90.00
_symmetry_space_group_name_H-M 'I -4 2 m'
_symmetry_Int_Tables_number 121
_symmetry_space_group_name_Hall 'I -4 2'
loop_
_atom_site_label
_atom_site_type_symbol
_atom_site_fract_x
_atom_site_fract_y
_atom_site_fract_z
_atom_site_occupancy
Li1 Li 0.000 0.000 0.000 1
Ga1 Ga 0.000 0.000 0.500 1
Ge1 Ge 0.000 0.500 0.250 1
N1 N 0.243 0.243 0.367 1
# Crystal system: tetragonal
# E_tot in eV/atom: -6.2738
# Raw formation energy in kJ/mol of atoms: -33

# PBE-GGA Na2LiGa3Ge4, optimized geometry
data_Na2LiGa3Ge4
_cell_length_a 4.346
_cell_length_b 4.346
_cell_length_c 10.952
_cell_angle_alpha 90.00
_cell_angle_beta 90.00
_cell_angle_gamma 90.00
_symmetry_space_group_name_H-M 'P -4 m 2'
_symmetry_Int_Tables_number 115
_symmetry_space_group_name_Hall 'P -4 -2'
loop_
_atom_site_label
_atom_site_type_symbol
_atom_site_fract_x
_atom_site_fract_y
_atom_site_fract_z
_atom_site_occupancy
Na1 Na 0.000 0.500 0.237 1
Li1 Li 0.500 0.500 0.000 1
Ga1 Ga 0.000 0.000 0.000 1
Ga2 Ga 0.000 0.500 0.640 1
Ge1 Ge 0.000 0.000 0.500 1
Ge2 Ge 0.000 0.500 0.866 1
Ge3 Ge 0.500 0.500 0.500 1
# Crystal system: tetragonal
# E_tot in eV/atom: -3.3324
# ΔH_f (0 K) in meV/atom: -122

# PBE-GGA Li3Nd2GaGe4, optimized geometry
data_Li3Nd2GaGe4
_cell_length_a 4.207
_cell_length_b 4.207
_cell_length_c 10.675
_cell_angle_alpha 90.00
_cell_angle_beta 90.00
_cell_angle_gamma 90.00
_symmetry_space_group_name_H-M 'P -4 m 2'
_symmetry_Int_Tables_number 115
_symmetry_space_group_name_Hall 'P -4 -2'
loop_
_atom_site_label
_atom_site_type_symbol
_atom_site_fract_x
_atom_site_fract_y
_atom_site_fract_z
_atom_site_occupancy
Li1 Li 0.000 0.000 0.000 1
Li2 Li 0.000 0.500 0.626 1
Nd1 Nd 0.000 0.500 0.261 1
Ga1 Ga 0.500 0.500 0.000 1
Ge1 Ge 0.000 0.000 0.500 1
Ge2 Ge 0.000 0.500 0.853 1
Ge3 Ge 0.500 0.500 0.500 1
# Crystal system: tetragonal
# E_tot in eV/atom: -4.2502
# ΔH_f (0 K) in meV/atom: -573

# PBE-GGA LiNdGaGe2, optimized geometry
data_LiNdGaGe2
_cell_length_a 4.161
_cell_length_b 4.161
_cell_length_c 11.530
_cell_angle_alpha 90.00
_cell_angle_beta 90.00
_cell_angle_gamma 90.00
_symmetry_space_group_name_H-M 'I -4 m 2'
_symmetry_Int_Tables_number 119
_symmetry_space_group_name_Hall 'I -4 -2'
loop_
_atom_site_label
_atom_site_type_symbol
_atom_site_fract_x
_atom_site_fract_y
_atom_site_fract_z
_atom_site_occupancy
Li1 Li 0.000 0.000 0.000 1
Nd1 Nd 0.000 0.500 0.750 1
Ga1 Ga 0.000 0.000 0.500 1
Ge1 Ge 0.000 0.500 0.139 1
# Crystal system: tetragonal
# E_tot in eV/atom: -4.3197
# ΔH_f (0 K) in meV/atom: -531

# PBE-GGA Li2NdGa2Ge2, optimized geometry
data_Li2NdGa2Ge2
_cell_length_a 4.3940
_cell_length_b 4.3940
_cell_length_c 23.6497
_cell_angle_alpha 90.00
_cell_angle_beta 90.00
_cell_angle_gamma 120.00
_symmetry_space_group_name_H-M 'R -3 m'
_symmetry_Int_Tables_number 166
_symmetry_space_group_name_Hall '-R 3 2"'
loop_
_atom_site_label
_atom_site_type_symbol
_atom_site_fract_x
_atom_site_fract_y
_atom_site_fract_z
_atom_site_occupancy
Li1 Li 0.0000 0.0000 0.1431 1
Nd1 Nd 0.0000 0.0000 0.0000 1
Ga1 Ga 0.0000 0.0000 0.4414 1
Ge1 Ge 0.0000 0.0000 0.2566 1
# Crystal system: trigonal
# E_tot in eV/atom: -3.8537
# ΔH_f (0 K) in meV/atom: -442

# PBE-GGA LiNpGaGe, optimized geometry
data_LiNpGaGe
_cell_length_a 6.781
_cell_length_b 6.781
_cell_length_c 6.781
_cell_angle_alpha 90.00
_cell_angle_beta 90.00
_cell_angle_gamma 90.00
_symmetry_space_group_name_H-M 'F -4 3 m'
_symmetry_Int_Tables_number 216
_symmetry_space_group_name_Hall 'F -4 2 3'
loop_
_atom_site_label
_atom_site_type_symbol
_atom_site_fract_x
_atom_site_fract_y
_atom_site_fract_z
_atom_site_occupancy
Li1 Li 0.000 0.000 0.000 1
Np1 Np 0.000 0.000 0.500 1
Ga1 Ga 0.250 0.250 0.750 1
Ge1 Ge 0.250 0.250 0.250 1
# Crystal system: cubic
# E_tot in eV/atom: -5.7532
# ΔH_f (0 K) in meV/atom: -128

# PBE-GGA LiGa2GeO6, optimized geometry
data_LiGa2GeO6
_cell_length_a 9.720
_cell_length_b 10.748
_cell_length_c 5.624
_cell_angle_alpha 90.00
_cell_angle_beta 115.91
_cell_angle_gamma 90.00
_symmetry_space_group_name_H-M 'C 1 2/c 1'
_symmetry_Int_Tables_number 15
_symmetry_space_group_name_Hall '-C 2yc'
loop_
_atom_site_label
_atom_site_type_symbol
_atom_site_fract_x
_atom_site_fract_y
_atom_site_fract_z
_atom_site_occupancy
Li1 Li 0.000 0.094 0.250 1
Ga1 Ga 0.163 0.410 0.163 1
Ge1 Ge 0.000 0.178 0.750 1
O1 O 0.103 0.250 0.058 1
O2 O 0.111 0.453 0.435 1
O3 O 0.122 0.077 0.675 1
# Crystal system: monoclinic
# E_tot in eV/atom: -5.8508
# Raw formation energy in kJ/mol of atoms: -156

# PBE-GGA LiGaGeO4, optimized geometry
data_LiGaGeO4
_cell_length_a 5.832
_cell_length_b 5.926
_cell_length_c 8.355
_cell_angle_alpha 90.00
_cell_angle_beta 90.00
_cell_angle_gamma 90.00
_symmetry_space_group_name_H-M 'I m m a'
_symmetry_Int_Tables_number 74
_symmetry_space_group_name_Hall '-I 2b 2'
loop_
_atom_site_label
_atom_site_type_symbol
_atom_site_fract_x
_atom_site_fract_y
_atom_site_fract_z
_atom_site_occupancy
Li1 Li 0.000 0.250 0.118 1
Ga1 Ga 0.000 0.000 0.500 1
Ge1 Ge 0.250 0.250 0.750 1
O1 O 0.000 0.029 0.744 1
O2 O 0.230 0.250 0.521 1
# Crystal system: orthorhombic
# E_tot in eV/atom: -6.0694
# Raw formation energy in kJ/mol of atoms: -180